Below is crystalline KBa2Pt at its relaxed geometry, with properties calculated at the PBE level.

a b c (Å): 11.7277 11.7277 11.7277
angles (deg): 159.66 158.24 29.96
With the nearest neighbours (Å) after each atom.
Atoms (fractional coordinates):
Ba: 0.1020 0.1020 0.0000  2 Pt 3.10
Pt: 0.2039 0.7039 0.5000  6 Ba 3.10-3.26
Ba: 0.7574 0.2574 0.5000  4 Pt 3.26
K: 0.4367 0.4367 0.0000  4 K 4.14-4.43, 2 Ba 4.63

**Calculated density**: 4.1 g/cm³
**Crystal system**: orthorhombic
**ΔE to the lowest computed polymorph**: 159 meV/atom